# 1
ZnS2ClF: relaxed, PBE-GGA.

a = 4.8997 Å, b = 4.8997 Å, c = 4.6855 Å
α = 90.00°, β = 90.00°, γ = 90.00°
Sites, in units of the cell vectors:
Zn: 0.0000 0.0000 0.0000
S: 0.0000 0.5000 0.0000
S: 0.5000 0.0000 0.0000
Cl: 0.0000 0.0000 0.5000
F: 0.5000 0.5000 0.5000

- Total magnetization: 3.98 Bohr magnetons per cell
- Uncorrected energy: -2.3177 eV/atom
- Formation energy from raw total energies: 0.332 eV per atom
- SG: P4/mmm (123)

# 2
ZnS2ClF: relaxed, PBE-GGA.

a = 4.0811 Å, b = 4.0811 Å, c = 5.9129 Å
α = 90.00°, β = 90.00°, γ = 90.00°
Sites, in units of the cell vectors:
Zn: 0.0000 0.0000 0.0000
S: 0.0000 0.5000 0.5000
S: 0.5000 0.0000 0.5000
Cl: 0.5000 0.5000 0.0000
F: 0.5000 0.5000 0.5000

- Total magnetization: 0.00 Bohr magnetons per cell
- Uncorrected energy: -2.2144 eV/atom
- Formation energy from raw total energies: 0.435 eV per atom
- SG: P4/mmm (123)